The following is a PBE+U calculation of a relaxed SrMo2F11 crystal, from Alexandria via LeMat-Bulk.

a b c (Å): 8.5348 8.5348 8.5348
angles (deg): 126.05 108.05 95.84
Element x y z (fractional)
Sr1 0.2500 0.2500 0.0000
Sr2 0.7500 0.7500 0.0000
Mo1 0.1781 0.6348 0.8129
Mo2 0.3219 0.1348 0.4566
Mo3 0.6781 0.8652 0.5434
Mo4 0.8219 0.3652 0.1871
F1 0.0000 0.5000 0.5000
F2 0.0441 0.3592 0.1634
F3 0.0672 0.9650 0.2990
F4 0.1660 0.4650 0.8978
F5 0.1958 0.8807 0.8366
F6 0.2138 0.3648 0.5786
F7 0.2862 0.8648 0.1510
F8 0.3042 0.1408 0.6848
F9 0.3340 0.2318 0.2990
F10 0.4328 0.7318 0.8978
F11 0.4559 0.6193 0.3152
F12 0.5000 0.0000 0.5000
F13 0.5441 0.3807 0.6848
F14 0.5672 0.2682 0.1022
F15 0.6660 0.7682 0.7010
F16 0.6958 0.8592 0.3152
F17 0.7138 0.1352 0.8490
F18 0.7862 0.6352 0.4214
F19 0.8042 0.1193 0.1634
F20 0.8340 0.5350 0.1022
F21 0.9328 0.0350 0.7010
F22 0.9559 0.6408 0.8366

Summary:
energy = -5.3075 eV/atom
N(E_F) = 5.84 states/eV/cell
space group = Ibam (72)
magnetic moment = 3.000 μB per formula unit